[1]
NdThHg2: relaxed, PBE-GGA.

Lattice parameters (Å, degrees): 5.4194 5.4194 5.4194 60.00 60.00 60.00
Last column: magnetic moment on the atom in μB.
Sites, in units of the cell vectors:
Hg: 0.7500 0.7500 0.7500  0.02
Hg: 0.2500 0.2500 0.2500  0.02
Nd: 0.5000 0.5000 0.5000  0.12
Th: 0.0000 0.0000 0.0000  0.16

Values from the calculation:
ΔH_f (0 K) ... -0.306 eV/atom
Calculated total energy ... -3.5041 eV per atom
Polymorph energy (0 for the lowest one) ... 22 meV per atom
Space-group type ... Fm-3m (225)

---

[2]
HfCoTc3: relaxed, PBE-GGA.

Lattice parameters (Å, degrees): 4.6566 4.6566 4.6566 90.00 90.00 90.00
Sites, in units of the cell vectors:
Tc: 0.0000 0.5000 0.0000
Tc: 0.5000 0.0000 0.0000
Tc: 0.0000 0.0000 0.5000
Hf: 0.0000 0.0000 0.0000
Co: 0.5000 0.5000 0.5000

Values from the calculation:
ΔH_f (0 K) ... 2.262 eV/atom
Calculated total energy ... -7.3698 eV per atom
Polymorph energy (0 for the lowest one) ... 1398 meV per atom
Space-group type ... Pm-3m (221)

---

[3]
MgH5IrPd: relaxed, PBE-GGA.

Lattice parameters (Å, degrees): 5.5146 5.5146 5.7582 109.37 109.37 107.88
Sites, in units of the cell vectors:
H: 0.4140 0.8737 0.5853
H: 0.3680 0.1735 0.0143
H: 0.5860 0.1263 0.4147
H: 0.8737 0.4140 0.0853
H: 0.8265 0.6320 0.4857
H: 0.1735 0.3680 0.5143
H: 0.1037 0.8963 0.2500
H: 0.6320 0.8265 0.9857
H: 0.1263 0.5860 0.9147
H: 0.8963 0.1037 0.7500
Pd: 0.0000 0.0000 0.0000
Pd: 0.0000 0.0000 0.5000
Ir: 0.2864 0.7136 0.7500
Ir: 0.7136 0.2864 0.2500
Mg: 0.3906 0.6094 0.2500
Mg: 0.6094 0.3906 0.7500

Values from the calculation:
Calculated total energy ... -4.1102 eV per atom
Space-group type ... C2/c (15)

---

[4]
Hf2BPPb: relaxed, PBE-GGA.

Lattice parameters (Å, degrees): 4.8845 3.7534 4.8845 90.00 90.00 90.00
Sites, in units of the cell vectors:
P: 0.0000 0.5000 0.0000
B: 0.0000 0.0000 0.0000
Hf: 0.5000 0.0000 0.0000
Hf: 0.0000 0.0000 0.5000
Pb: 0.5000 0.5000 0.5000

Values from the calculation:
ΔH_f (0 K) ... 0.043 eV/atom
Calculated total energy ... -7.0971 eV per atom
Space-group type ... P4/mmm (123)

---

[5]
Ta7Al6: relaxed, PBE-GGA.

Lattice parameters (Å, degrees): 9.8135 9.8135 9.8135 32.65 32.65 32.65
Sites, in units of the cell vectors:
Al: 0.8467 0.8467 0.8467
Al: 0.6670 0.6670 0.6670
Al: 0.9468 0.9468 0.9468
Al: 0.0532 0.0532 0.0532
Al: 0.1533 0.1533 0.1533
Al: 0.3330 0.3330 0.3330
Ta: 0.0863 0.5855 0.5855
Ta: 0.5000 0.5000 0.5000
Ta: 0.4145 0.9137 0.4145
Ta: 0.5855 0.5855 0.0863
Ta: 0.5855 0.0863 0.5855
Ta: 0.9137 0.4145 0.4145
Ta: 0.4145 0.4145 0.9137

Values from the calculation:
ΔH_f (0 K) ... 0.177 eV/atom
Calculated total energy ... -7.9326 eV per atom
Space-group type ... R-3m (166)

---

[6]
Zn3Cd9In: relaxed, PBE-GGA.

Lattice parameters (Å, degrees): 5.7692 7.5101 7.5865 82.24 67.65 69.21
Sites, in units of the cell vectors:
Cd: 0.5151 0.2132 0.7809
Cd: 0.2960 0.2132 0.2191
Cd: 0.7040 0.7868 0.7809
Cd: 0.4849 0.7868 0.2191
Cd: 0.0096 0.3396 0.6482
Cd: 0.3422 0.6604 0.6482
Cd: 0.0000 0.5000 0.0000
Cd: 0.6578 0.3396 0.3518
Cd: 0.9904 0.6604 0.3518
Zn: 0.5000 0.0000 0.5000
Zn: 0.5000 0.5000 0.0000
Zn: 0.0000 0.0000 0.5000
In: 0.0000 0.0000 0.0000

Values from the calculation:
ΔH_f (0 K) ... 0.057 eV/atom
Calculated total energy ... -1.0811 eV per atom
Space-group type ... C2/m (12)

---

[7]
LaSiAs3: relaxed, PBE-GGA.

Lattice parameters (Å, degrees): 4.8624 4.8624 4.8624 90.00 90.00 90.00
Sites, in units of the cell vectors:
As: 0.0000 0.5000 0.0000
As: 0.5000 0.0000 0.0000
As: 0.0000 0.0000 0.5000
Si: 0.0000 0.0000 0.0000
La: 0.5000 0.5000 0.5000

Values from the calculation:
Calculated total energy ... -5.0955 eV per atom
Polymorph energy (0 for the lowest one) ... 427 meV per atom
Space-group type ... Pm-3m (221)

---

[8]
CsSiP2Cl: relaxed, PBE-GGA.

Lattice parameters (Å, degrees): 5.9026 5.9026 6.0451 90.00 90.00 90.00
Last column: magnetic moment on the atom in μB.
Sites, in units of the cell vectors:
Cs: 0.0000 0.0000 0.0000  0.01
Si: 0.5000 0.5000 0.5000  -0.34
P: 0.0000 0.5000 0.0000  0.62
P: 0.5000 0.0000 0.0000  0.62
Cl: 0.0000 0.0000 0.5000  0.09

Values from the calculation:
Calculated total energy ... -2.1011 eV per atom
Polymorph energy (0 for the lowest one) ... 1756 meV per atom
Space-group type ... P4/mmm (123)

---

[9]
MnInHRh2: relaxed, PBE-GGA.

Lattice parameters (Å, degrees): 4.1441 4.1441 3.7613 90.00 90.00 90.00
Last column: magnetic moment on the atom in μB.
Sites, in units of the cell vectors:
In: 0.5000 0.5000 0.5000  -0.04
Rh: 0.0000 0.5000 0.0000  0.41
Rh: 0.5000 0.0000 0.0000  0.41
H: 0.0000 0.0000 0.0000  -0.01
Mn: 0.0000 0.0000 0.5000  3.73

Values from the calculation:
Calculated total energy ... -6.2447 eV per atom
Space-group type ... P4/mmm (123)

---

[10]
BTe2N: relaxed, PBE-GGA.

Lattice parameters (Å, degrees): 7.0251 7.0251 7.0251 31.40 31.40 31.40
Sites, in units of the cell vectors:
B: 0.5000 0.5000 0.5000
Te: 0.9019 0.9019 0.9019
Te: 0.0981 0.0981 0.0981
N: 0.0000 0.0000 0.0000

Values from the calculation:
Calculated total energy ... -4.0416 eV per atom
Polymorph energy (0 for the lowest one) ... 139 meV per atom
Space-group type ... R-3m (166)